## Ti2Ir3Pt3 (PBE)

Data for Ti2Ir3Pt3 after structural relaxation.

Cell lengths 3.946, 3.906, 7.730 Å; angles 90.00, 90.00, 90.00 degrees
Sites, in units of the cell vectors:
Ti  0.000  0.000  0.745
Ir  0.000  0.500  0.500
Pt  0.500  0.500  0.252
Ir  0.500  0.000  0.500
Ir  0.000  0.500  0.000
Pt  0.500  0.500  0.748
Pt  0.500  0.000  0.000
Ti  0.000  0.000  0.255

Values from the calculation:
density of states at the Fermi level = 4.56 states/eV/cell
formation energy from the elements = -788 meV per atom
space-group type = No. 47
spin magnetization = 0.0 μB per formula unit